# 1
A relaxed structure of ScSi2Ni. Source: Alexandria via LeMat-Bulk, functional PBE-GGA.

Lattice parameters (Å, degrees): 3.812 3.812 5.445 69.53 69.53 59.97
Positions (direct):
Ni1 0.432 0.432 0.706
Sc1 0.240 0.240 0.279
Si1 0.033 0.033 0.903
Si2 0.796 0.796 0.613

Values from the calculation:
V, Å³/f.u.: 62.66
Total energy, Ry per atom: -0.4663


# 2
A relaxed structure of Sc3Si2Ni. Source: Alexandria via LeMat-Bulk, functional PBE-GGA.

Lattice parameters (Å, degrees): 3.964 10.338 10.632 90.00 90.00 90.00
Positions (direct):
Sc1 0.250 0.377 0.054
Sc2 0.750 0.623 0.946
Sc3 0.750 0.877 0.446
Sc4 0.250 0.123 0.554
Sc5 0.250 0.695 0.217
Sc6 0.750 0.305 0.783
Sc7 0.750 0.195 0.283
Sc8 0.250 0.805 0.717
Sc9 0.250 0.436 0.378
Sc10 0.750 0.564 0.622
Sc11 0.750 0.936 0.122
Sc12 0.250 0.064 0.878
Si1 0.250 0.688 0.481
Si2 0.750 0.312 0.519
Si3 0.750 0.188 0.019
Si4 0.250 0.812 0.981
Si5 0.250 0.998 0.306
Si6 0.750 0.002 0.694
Si7 0.750 0.498 0.194
Si8 0.250 0.502 0.806
Ni1 0.250 0.134 0.129
Ni2 0.750 0.866 0.871
Ni3 0.750 0.634 0.371
Ni4 0.250 0.366 0.629

Values from the calculation:
V, Å³/f.u.: 108.92
ΔE to the lowest computed polymorph, eV per atom: 0.000
Total energy, Ry per atom: -0.4927


# 3
A relaxed structure of ScSi2Ni2. Source: Alexandria via LeMat-Bulk, functional PBE-GGA.

Lattice parameters (Å, degrees): 7.074 7.074 2.625 90.00 90.00 90.00
Positions (direct):
Sc1 0.000 0.000 0.000
Sc2 0.500 0.500 0.000
Ni1 0.150 0.650 0.500
Ni2 0.650 0.850 0.500
Ni3 0.850 0.350 0.500
Ni4 0.350 0.150 0.500
Si1 0.359 0.859 0.000
Si2 0.859 0.641 0.000
Si3 0.641 0.141 0.000
Si4 0.141 0.359 0.000

Values from the calculation:
V, Å³/f.u.: 65.69
Total energy, Ry per atom: -0.4567


# 4
A relaxed structure of ScSiNi2. Source: Alexandria via LeMat-Bulk, functional PBE-GGA.

Lattice parameters (Å, degrees): 4.002 4.003 3.350 90.00 90.00 90.00
Positions (direct):
Ni1 0.000 0.000 0.000
Ni2 0.500 0.500 0.000
Sc1 0.500 0.000 0.500
Si1 0.000 0.500 0.500

Values from the calculation:
V, Å³/f.u.: 53.67
Total energy, Ry per atom: -0.4654


# 5
A relaxed structure of Sc3Si6Ni20. Source: Alexandria via LeMat-Bulk, functional PBE-GGA.

Lattice parameters (Å, degrees): 7.971 7.971 7.971 60.00 60.00 60.00
Positions (direct):
Sc1 0.750 0.750 0.750
Sc2 0.250 0.250 0.250
Sc3 0.000 0.000 0.000
Si1 0.268 0.732 0.732
Si2 0.732 0.268 0.268
Si3 0.268 0.268 0.732
Si4 0.732 0.268 0.732
Si5 0.268 0.732 0.268
Si6 0.732 0.732 0.268
Ni1 0.381 0.381 0.856
Ni2 0.144 0.619 0.619
Ni3 0.649 0.000 0.000
Ni4 0.649 0.351 0.000
Ni5 0.000 0.000 0.649
Ni6 0.381 0.856 0.381
Ni7 0.000 0.351 0.649
Ni8 0.649 0.000 0.351
Ni9 0.000 0.649 0.000
Ni10 0.000 0.000 0.351
Ni11 0.351 0.000 0.649
Ni12 0.000 0.351 0.000
Ni13 0.351 0.649 0.000
Ni14 0.351 0.000 0.000
Ni15 0.381 0.381 0.381
Ni16 0.619 0.619 0.144
Ni17 0.619 0.619 0.619
Ni18 0.619 0.144 0.619
Ni19 0.856 0.381 0.381
Ni20 0.000 0.649 0.351

Values from the calculation:
V, Å³/f.u.: 358.16
Total energy, Ry per atom: -0.4611


# 6
A relaxed structure of ScSiNi3. Source: Alexandria via LeMat-Bulk, functional PBE-GGA.

Lattice parameters (Å, degrees): 4.409 4.409 4.409 90.00 90.00 90.00
Positions (direct):
Sc1 0.000 0.000 0.000
Ni1 0.000 0.500 0.000
Ni2 0.000 0.000 0.500
Ni3 0.500 0.000 0.000
Si1 0.500 0.500 0.500

Values from the calculation:
V, Å³/f.u.: 85.74
ΔE to the lowest computed polymorph, eV per atom: 1.508
Total energy, Ry per atom: -0.3458